Version a
# La2TaPd PBE optimized geometry
# M_tot	0.446	μB/atom
# ρ	9.2	Mg/m³
data_La2TaPd
_chemical_formula_sum 'La8 Ta4 Pd4'
_cell_length_a 7.4184
_cell_length_b 7.4184
_cell_length_c 7.4184
_cell_angle_alpha 90.00
_cell_angle_beta 90.00
_cell_angle_gamma 90.00
_symmetry_space_group_name_H-M 'F m -3 m'
_symmetry_Int_Tables_number 225
_symmetry_space_group_name_Hall '-F 4 2 3'
loop_
_atom_site_label
_atom_site_type_symbol
_atom_site_fract_x
_atom_site_fract_y
_atom_site_fract_z
_atom_site_occupancy
La1 La 0.2500 0.2500 0.2500 1
Ta1 Ta 0.0000 0.0000 0.0000 1
Pd1 Pd 0.0000 0.0000 0.5000 1



Version b
# La2TaPd PBE optimized geometry
# M_tot	0.000	μB/atom
# ρ	9.1	Mg/m³
data_La2TaPd
_chemical_formula_sum 'La8 Ta4 Pd4'
_cell_length_a 8.1222
_cell_length_b 8.1222
_cell_length_c 6.2354
_cell_angle_alpha 90.00
_cell_angle_beta 90.00
_cell_angle_gamma 90.00
_symmetry_space_group_name_H-M 'I -4 2 d'
_symmetry_Int_Tables_number 122
_symmetry_space_group_name_Hall 'I -4 2bw'
loop_
_atom_site_label
_atom_site_type_symbol
_atom_site_fract_x
_atom_site_fract_y
_atom_site_fract_z
_atom_site_occupancy
La1 La 0.2287 0.7500 0.1250 1
Ta1 Ta 0.0000 0.0000 0.5000 1
Pd1 Pd 0.0000 0.0000 0.0000 1



version a is favored, and the nearest alternative lies 0.161 eV/atom above it.



Version a
# LaTb2Pd PBE optimized geometry
# M_tot	0.000	μB/atom
# ρ	8.0	Mg/m³
data_LaTb2Pd
_chemical_formula_sum 'La4 Tb8 Pd4'
_cell_length_a 7.1796
_cell_length_b 9.8752
_cell_length_c 6.6129
_cell_angle_alpha 90.00
_cell_angle_beta 90.00
_cell_angle_gamma 90.00
_symmetry_space_group_name_H-M 'P n m a'
_symmetry_Int_Tables_number 62
_symmetry_space_group_name_Hall '-P 2ac 2n'
loop_
_atom_site_label
_atom_site_type_symbol
_atom_site_fract_x
_atom_site_fract_y
_atom_site_fract_z
_atom_site_occupancy
La1 La 0.0204 0.2500 0.1381 1
Tb1 Tb 0.1773 0.0613 0.6697 1
Pd1 Pd 0.1160 0.7500 0.4231 1



Version b
# LaTb2Pd PBE optimized geometry
# M_tot	0.000	μB/atom
# ρ	8.1	Mg/m³
data_LaTb2Pd
_chemical_formula_sum 'La2 Tb4 Pd2'
_cell_length_a 3.8287
_cell_length_b 9.6125
_cell_length_c 6.5455
_cell_angle_alpha 90.00
_cell_angle_beta 106.97
_cell_angle_gamma 90.00
_symmetry_space_group_name_H-M 'P 1 21/m 1'
_symmetry_Int_Tables_number 11
_symmetry_space_group_name_Hall '-P 2yb'
loop_
_atom_site_label
_atom_site_type_symbol
_atom_site_fract_x
_atom_site_fract_y
_atom_site_fract_z
_atom_site_occupancy
La1 La 0.0660 0.2500 0.1311 1
Tb1 Tb 0.3612 0.0615 0.7238 1
Pd1 Pd 0.2359 0.7500 0.4713 1



Version c
# LaTb2Pd PBE optimized geometry
# M_tot	0.000	μB/atom
# ρ	7.7	Mg/m³
data_LaTb2Pd
_chemical_formula_sum 'La3 Tb6 Pd3'
_cell_length_a 3.7930
_cell_length_b 3.7930
_cell_length_c 29.2821
_cell_angle_alpha 90.00
_cell_angle_beta 90.00
_cell_angle_gamma 120.00
_symmetry_space_group_name_H-M 'R -3 m'
_symmetry_Int_Tables_number 166
_symmetry_space_group_name_Hall '-R 3 2"'
loop_
_atom_site_label
_atom_site_type_symbol
_atom_site_fract_x
_atom_site_fract_y
_atom_site_fract_z
_atom_site_occupancy
La1 La 0.0000 0.0000 0.0000 1
Tb1 Tb 0.0000 0.0000 0.2290 1
Pd1 Pd 0.0000 0.0000 0.5000 1



Version d
# LaTb2Pd PBE optimized geometry
# M_tot	0.000	μB/atom
# ρ	8.2	Mg/m³
data_LaTb2Pd
_chemical_formula_sum 'La1 Tb2 Pd1'
_cell_length_a 3.5877
_cell_length_b 3.5877
_cell_length_c 8.8294
_cell_angle_alpha 90.00
_cell_angle_beta 90.00
_cell_angle_gamma 90.00
_symmetry_space_group_name_H-M 'P 4/m m m'
_symmetry_Int_Tables_number 123
_symmetry_space_group_name_Hall '-P 4 2'
loop_
_atom_site_label
_atom_site_type_symbol
_atom_site_fract_x
_atom_site_fract_y
_atom_site_fract_z
_atom_site_occupancy
La1 La 0.0000 0.0000 0.0000 1
Tb1 Tb 0.5000 0.5000 0.3109 1
Pd1 Pd 0.0000 0.0000 0.5000 1



version a is favored, and the nearest alternative lies 0.021 eV/atom above it.



Version a
# LaTbZnPd PBE optimized geometry
# M_tot	0.000	μB/atom
# ρ	7.8	Mg/m³
data_LaTbZnPd
_chemical_formula_sum 'La2 Tb2 Zn2 Pd2'
_cell_length_a 4.6118
_cell_length_b 3.9569
_cell_length_c 10.9541
_cell_angle_alpha 90.00
_cell_angle_beta 90.00
_cell_angle_gamma 90.00
_symmetry_space_group_name_H-M 'A m m 2'
_symmetry_Int_Tables_number 38
_symmetry_space_group_name_Hall 'A 2 -2'
loop_
_atom_site_label
_atom_site_type_symbol
_atom_site_fract_x
_atom_site_fract_y
_atom_site_fract_z
_atom_site_occupancy
La1 La 0.0000 0.0000 0.0000 1
Tb1 Tb 0.5000 0.0000 0.2826 1
Zn1 Zn 0.5000 0.0000 0.5726 1
Pd1 Pd 0.0000 0.0000 0.7185 1



Version b
# LaTbZnPd PBE optimized geometry
# M_tot	0.000	μB/atom
# ρ	8.1	Mg/m³
data_LaTbZnPd
_chemical_formula_sum 'La4 Tb4 Zn4 Pd4'
_cell_length_a 7.2851
_cell_length_b 7.2851
_cell_length_c 7.2851
_cell_angle_alpha 90.00
_cell_angle_beta 90.00
_cell_angle_gamma 90.00
_symmetry_space_group_name_H-M 'F -4 3 m'
_symmetry_Int_Tables_number 216
_symmetry_space_group_name_Hall 'F -4 2 3'
loop_
_atom_site_label
_atom_site_type_symbol
_atom_site_fract_x
_atom_site_fract_y
_atom_site_fract_z
_atom_site_occupancy
La1 La 0.0000 0.0000 0.0000 1
Tb1 Tb 0.0000 0.0000 0.5000 1
Zn1 Zn 0.2500 0.2500 0.7500 1
Pd1 Pd 0.2500 0.2500 0.2500 1



version a is favored, and the nearest alternative lies 0.022 eV/atom above it.